# Li2MnNiO4

A crystal of Li2MnNiO4 relaxed with PBEsol (meta-GGA SCAN, Alexandria).

Its crystal system is orthorhombic. As for the uncorrected formation energy: -2.0381 eV per atom.

The space group is Imma (No. 74) and the conventional cell measures 5.649, 5.805 and 8.133 Å, with angles of 90.00, 90.00 and 90.00 degrees. Symmetry generates all atoms from Li at (0.000, 0.000, 0.000), Li at (0.250, 0.250, 0.250), Mn at (0.250, 0.250, 0.750), Ni at (0.000, 0.000, 0.500), O at (0.000, 0.023, 0.752) and O at (0.243, 0.250, 0.516).